[1]
{"formula": "Dy3Er2Sb2", "functional": "PBE", "state": "relaxed", "lattice": [[6.0566, -2.1104, 0.0000], [6.0566, 2.1104, 0.0000], [-2.6637, 0.0000, 7.9739]], "species": ["Dy", "Dy", "Dy", "Er", "Er", "Sb", "Sb"], "frac_coords": [[0.0000, 0.0000, 0.0000], [0.1254, 0.1254, 0.4452], [0.8746, 0.8746, 0.5548], [0.3690, 0.3690, 0.2180], [0.6310, 0.6310, 0.7820], [0.3237, 0.3237, 0.8091], [0.6763, 0.6763, 0.1909]], "final_energy_ry_per_atom": -0.3729, "raw_formation_energy_mev_per_atom": -620}



[2]
{"formula": "Dy2ErSb", "functional": "PBE", "state": "relaxed", "lattice": [[1.9936, 1.1510, 9.4036], [-1.9936, 1.1510, 9.4036], [0.0000, -2.3020, 9.4036]], "species": ["Dy", "Dy", "Er", "Sb"], "frac_coords": [[0.0000, 0.0000, 0.0000], [0.1962, 0.1962, 0.1962], [0.4317, 0.4317, 0.4317], [0.5977, 0.5977, 0.5977]], "final_energy_ry_per_atom": -0.3520, "raw_formation_energy_mev_per_atom": -317}



[3]
{"formula": "DyErSb2", "functional": "PBE", "state": "relaxed", "lattice": [[2.1841, 1.2610, 7.1306], [-2.1841, 1.2610, 7.1306], [0.0000, -2.5220, 7.1306]], "species": ["Dy", "Er", "Sb", "Sb"], "frac_coords": [[0.0000, 0.0000, 0.0000], [0.5000, 0.5000, 0.5000], [0.2493, 0.2493, 0.2493], [0.7507, 0.7507, 0.7507]], "final_energy_ry_per_atom": -0.4017, "raw_formation_energy_mev_per_atom": -1113}



[4]
{"formula": "Dy2Er5Sb4", "functional": "PBE", "state": "relaxed", "lattice": [[12.8540, -1.8085, 0.0000], [12.8540, 1.8085, 0.0000], [-0.1776, 0.0000, 7.2396]], "species": ["Dy", "Dy", "Er", "Er", "Er", "Er", "Er", "Sb", "Sb", "Sb", "Sb"], "frac_coords": [[0.2362, 0.2362, 0.2807], [0.7638, 0.7638, 0.7193], [0.0895, 0.0895, 0.1958], [0.1406, 0.1406, 0.6602], [0.5000, 0.5000, 0.5000], [0.8594, 0.8594, 0.3398], [0.9105, 0.9105, 0.8042], [0.0325, 0.0325, 0.8172], [0.3284, 0.3284, 0.0003], [0.6716, 0.6716, 0.9997], [0.9675, 0.9675, 0.1828]], "final_energy_ry_per_atom": -0.3553, "raw_formation_energy_mev_per_atom": -424}



[5]
{"formula": "DyErSb2", "functional": "PBE", "state": "relaxed", "lattice": [[2.1675, 1.2514, 7.3926], [-2.1675, 1.2514, 7.3926], [0.0000, -2.5028, 7.3926]], "species": ["Dy", "Er", "Sb", "Sb"], "frac_coords": [[0.0000, 0.0000, 0.0000], [0.8294, 0.8294, 0.8294], [0.2462, 0.2462, 0.2462], [0.4170, 0.4170, 0.4170]], "final_energy_ry_per_atom": -0.3937, "raw_formation_energy_mev_per_atom": -1004}



[6]
{"formula": "DyEr3Sb4", "functional": "PBE", "state": "relaxed", "lattice": [[6.1606, 0.0000, 0.0000], [0.0000, 6.1606, 0.0000], [0.0000, 0.0000, 6.1606]], "species": ["Dy", "Er", "Er", "Er", "Sb", "Sb", "Sb", "Sb"], "frac_coords": [[0.0000, 0.0000, 0.0000], [0.0000, 0.5000, 0.5000], [0.5000, 0.0000, 0.5000], [0.5000, 0.5000, 0.0000], [0.0000, 0.0000, 0.5000], [0.0000, 0.5000, 0.0000], [0.5000, 0.0000, 0.0000], [0.5000, 0.5000, 0.5000]], "final_energy_ry_per_atom": -0.4010, "raw_formation_energy_mev_per_atom": -1109}



[7]
{"formula": "DyErSb2", "functional": "PBE", "state": "relaxed", "lattice": [[4.3533, 0.0000, 0.0000], [-2.1766, 3.7701, 0.0000], [0.0000, 0.0000, 14.4108]], "species": ["Dy", "Dy", "Er", "Er", "Sb", "Sb", "Sb", "Sb"], "frac_coords": [[0.3333, 0.6667, 0.2500], [0.6667, 0.3333, 0.7500], [0.0000, 0.0000, 0.0000], [0.0000, 0.0000, 0.5000], [0.3333, 0.6667, 0.6216], [0.3333, 0.6667, 0.8784], [0.6667, 0.3333, 0.1216], [0.6667, 0.3333, 0.3784]], "final_energy_ry_per_atom": -0.3963, "raw_formation_energy_mev_per_atom": -1040}



[8]
{"formula": "Dy2ErSb", "functional": "PBE", "state": "relaxed", "lattice": [[1.9760, 1.1408, 9.6314], [-1.9760, 1.1408, 9.6314], [0.0000, -2.2817, 9.6314]], "species": ["Dy", "Dy", "Er", "Sb"], "frac_coords": [[0.2345, 0.2345, 0.2345], [0.7655, 0.7655, 0.7655], [0.0000, 0.0000, 0.0000], [0.5000, 0.5000, 0.5000]], "final_energy_ry_per_atom": -0.3491, "raw_formation_energy_mev_per_atom": -277}